Entry 1:
4
Lattice="4.5404 -1.3653 0.0000 4.5404 1.3653 0.0000 -0.8205 0.0000 4.7235" Properties=species:S:1:pos:R:3 comment="MnMo2Ir | Alexandria via LeMat-Bulk | PBE | relaxed" de_polymorph_ev_per_atom=0.081 e_tot_ev_per_atom=-9.914 ef_ev_per_fu=0.0 sg="No. 8" pbc="T T T"
Mn 0.0000 0.0000 0.0000
Mo 4.2336 0.0000 2.4175
Mo 6.6288 0.0000 1.0195
Ir 1.7730 0.0000 3.4553

***

Entry 2:
10
Lattice="4.5827 -8.2029 0.0000 4.5827 8.2029 0.0000 0.0000 0.0000 5.4012" Properties=species:S:1:pos:R:3 comment="Pr7YCd2 | Alexandria via LeMat-Bulk | PBE | relaxed" e_tot_ev_per_atom=-3.816 ef_ev_per_fu=3.6 sg="No. 65" pbc="T T T"
Pr 0.0000 0.0000 0.0000
Pr 2.9029 1.9224 0.0000
Pr 4.5827 3.6535 2.7006
Pr 2.9029 -1.9224 0.0000
Pr 6.2625 1.9224 0.0000
Pr 4.5827 -3.6535 2.7006
Pr 6.2625 -1.9224 0.0000
Y 4.5827 0.0000 2.7006
Cd 4.5827 4.9809 0.0000
Cd 4.5827 -4.9809 0.0000

***

Entry 3:
3
Lattice="0.0000 3.1848 3.1848 3.1848 0.0000 3.1848 3.1848 3.1848 0.0000" Properties=species:S:1:pos:R:3 comment="AsRhBr | Alexandria via LeMat-Bulk | PBE | relaxed" e_form_raw_ev_per_atom=0.68 de_polymorph_ev_per_atom=0.944 e_tot_ev_per_atom=-3.877 sg="No. 216" pbc="T T T"
As 0.0000 0.0000 0.0000
Rh 4.7772 4.7772 4.7772
Br 1.5924 1.5924 1.5924

***

Entry 4:
3
Lattice="0.0000 3.0493 3.0493 3.0493 0.0000 3.0493 3.0493 3.0493 0.0000" Properties=species:S:1:pos:R:3 comment="PWSe | Alexandria via LeMat-Bulk | PBE | relaxed" e_form_raw_ev_per_atom=0.33 de_polymorph_ev_per_atom=0.437 e_tot_ev_per_atom=-6.956 sg="No. 216" pbc="T T T"
P 0.0000 0.0000 0.0000
W 4.5740 4.5740 4.5740
Se 3.0493 3.0493 3.0493

***

Entry 5:
11
Lattice="2.9049 -5.1788 0.0000 2.9049 5.1788 0.0000 -1.1012 0.0000 5.0546" Properties=species:S:1:pos:R:3 comment="Li2Pm2RuO6 | Alexandria via LeMat-Bulk | PBE | relaxed" e_form_raw_ev_per_atom=-2.20 e_tot_ev_per_atom=-6.958 sg="No. 12" pbc="T T T"
Li 2.9049 3.9980 0.0000
Li 2.9049 -3.9980 0.0000
Pm 2.3543 1.6708 2.5273
Pm 2.3543 -1.6708 2.5273
Ru -0.5506 0.0000 2.5273
O 0.2440 1.5747 3.6113
O 1.1224 0.0000 1.3341
O 0.2440 -1.5747 3.6113
O 4.4646 1.5747 1.4433
O 3.5862 0.0000 3.7205
O 4.4646 -1.5747 1.4433

***

Entry 6:
3
Lattice="0.0000 3.8779 3.8779 3.8779 0.0000 3.8779 3.8779 3.8779 0.0000" Properties=species:S:1:pos:R:3 comment="AcSmTl | Alexandria via LeMat-Bulk | PBE | relaxed" de_polymorph_ev_per_atom=0.218 e_tot_ev_per_atom=-3.765 ef_ev_per_fu=-0.1 sg="No. 216" pbc="T T T"
Ac 0.0000 0.0000 0.0000
Sm 3.8779 3.8779 3.8779
Tl 5.8169 5.8169 5.8169

***

Entry 7:
10
Lattice="4.1897 0.0000 0.0000 0.0000 4.1897 0.0000 0.0000 0.0000 9.8589" Properties=species:S:1:pos:R:3 comment="HoSi2Pt2 | Alexandria via LeMat-Bulk | PBE | relaxed" e_form_raw_ev_per_atom=-1.08 e_tot_ev_per_atom=-6.585 sg="No. 129" pbc="T T T"
Ho 1.0474 1.0474 2.4373
Ho 3.1422 3.1422 7.4216
Si 1.0474 1.0474 6.2526
Si 1.0474 3.1422 0.0000
Si 3.1422 1.0474 0.0000
Si 3.1422 3.1422 3.6063
Pt 1.0474 1.0474 8.6327
Pt 1.0474 3.1422 4.9295
Pt 3.1422 1.0474 4.9295
Pt 3.1422 3.1422 1.2262

***

Entry 8:
12
Lattice="6.4522 0.0000 0.0000 -3.2261 5.5877 0.0000 0.0000 0.0000 9.4377" Properties=species:S:1:pos:R:3 comment="BaLaCu2Cl8 | Alexandria via LeMat-Bulk | PBE | relaxed" e_form_raw_ev_per_atom=-1.54 e_tot_ev_per_atom=-4.025 sg="No. 147" pbc="T T T"
Ba 0.0000 0.0000 0.0000
La 0.0000 0.0000 4.7189
Cu 0.0000 3.7252 7.1722
Cu 3.2261 1.8626 2.2655
Cl -2.1512 3.8193 2.8472
Cl 0.9941 1.8151 2.8472
Cl 2.0689 0.0466 6.5906
Cl 0.0000 3.7252 9.4023
Cl 3.2261 1.8626 0.0354
Cl 1.1572 5.5411 2.8472
Cl 2.2320 3.7727 6.5906
Cl 5.3773 1.7684 6.5906

***

Entry 9:
3
Lattice="0.0000 2.7453 8.2386 1.6528 0.0000 8.2386 1.6528 2.7453 0.0000" Properties=species:S:1:pos:R:3 comment="PaAgPb | Alexandria via LeMat-Bulk | PBE | relaxed" e_tot_ev_per_atom=-5.156 ef_ev_per_fu=0.6 sg="No. 42" pbc="T T T"
Pa 0.0000 0.0000 0.0000
Ag 1.6528 2.7453 5.5878
Pb 1.6528 2.7453 11.1662

***

Entry 10:
6
Lattice="0.0000 3.9423 3.9423 3.9423 0.0000 3.9423 3.9423 3.9423 0.0000" Properties=species:S:1:pos:R:3 comment="TaFeCl4 | Alexandria via LeMat-Bulk | PBE | relaxed" e_form_raw_ev_per_atom=1.27 e_tot_ev_per_atom=-3.343 sg="No. 216" pbc="T T T"
Ta 0.0000 0.0000 0.0000
Fe 1.9712 1.9712 1.9712
Cl 4.9272 2.9575 2.9575
Cl 2.9575 4.9272 2.9575
Cl 2.9575 2.9575 4.9272
Cl 4.9272 4.9272 4.9272

***

Entry 11:
5
Lattice="4.9668 0.0000 0.0000 0.0000 4.9668 0.0000 0.0000 0.0000 4.9668" Properties=species:S:1:pos:R:3 comment="La3ReN | Alexandria via LeMat-Bulk | PBE | relaxed" e_form_raw_ev_per_atom=-0.16 e_tot_ev_per_atom=-7.274 sg="No. 221" pbc="T T T"
La 0.0000 0.0000 2.4834
La 0.0000 2.4834 0.0000
La 2.4834 0.0000 0.0000
Re 2.4834 2.4834 2.4834
N 0.0000 0.0000 0.0000

***

Entry 12:
5
Lattice="7.3495 0.0000 0.0000 0.0000 7.3495 0.0000 0.0000 0.0000 7.3495" Properties=species:S:1:pos:R:3 comment="Rb3BaY | Alexandria via LeMat-Bulk | PBE | relaxed" de_polymorph_ev_per_atom=0.000 e_tot_ev_per_atom=-1.456 ef_ev_per_fu=4.0 sg="No. 221" pbc="T T T"
Rb 0.0000 0.0000 3.6748
Rb 0.0000 3.6748 0.0000
Rb 3.6748 0.0000 0.0000
Ba 3.6748 3.6748 3.6748
Y 0.0000 0.0000 0.0000

***

Entry 13:
14
Lattice="6.5668 0.0000 0.0000 0.0000 6.7950 0.0000 -2.9646 0.0000 9.0063" Properties=species:S:1:pos:R:3 comment="CsTbVS4 | Alexandria via LeMat-Bulk | PBE | relaxed" e_form_raw_ev_per_atom=-1.39 e_tot_ev_per_atom=-5.837 sg="No. 11" pbc="T T T"
Cs 0.2687 1.6988 3.9755
Cs 3.3335 5.0963 5.0308
Tb -0.9465 1.6988 8.6221
Tb 4.5487 5.0963 0.3842
V 1.2492 5.0963 1.3988
V 2.3530 1.6988 7.6074
S -2.3675 5.0963 8.3463
S -0.4725 5.0963 2.7498
S 2.7090 3.4177 1.7029
S 2.7090 6.7748 1.7029
S 0.8932 0.0202 7.3034
S 0.8932 3.3773 7.3034
S 4.0747 1.6988 6.2565
S 5.9697 1.6988 0.6600

***

Entry 14:
5
Lattice="5.1462 0.0000 0.0000 0.0000 5.1462 0.0000 0.0000 0.0000 5.1978" Properties=species:S:1:pos:R:3 comment="BaTl2CdCo | Alexandria via LeMat-Bulk | PBE | relaxed" e_tot_ev_per_atom=-3.017 ef_ev_per_fu=-0.4 sg="No. 123" pbc="T T T"
Ba 0.0000 0.0000 0.0000
Tl 0.0000 2.5731 2.5989
Tl 2.5731 0.0000 2.5989
Cd 2.5731 2.5731 0.0000
Co 2.5731 2.5731 2.5989

***

Entry 15:
18
Lattice="6.3094 0.0000 0.0000 0.0000 6.1334 0.0000 -6.3065 0.0000 10.4640" Properties=species:S:1:pos:R:3 comment="Li2PdCl6 | Alexandria via LeMat-Bulk | PBE | relaxed" e_form_raw_ev_per_atom=-1.00 e_tot_ev_per_atom=-3.231 sg="No. 14" pbc="T T T"
Li 0.0012 0.0041 1.8116
Li -3.1520 3.0627 7.0436
Li 3.1550 3.0708 3.4205
Li 0.0017 6.1294 8.6525
Pd 3.1547 0.0000 0.0000
Pd 0.0015 3.0667 5.2320
Cl -1.0351 4.3689 3.5633
Cl -4.1883 4.8312 8.7954
Cl -5.0694 1.3554 10.4639
Cl -1.9162 1.7113 5.2319
Cl -1.0415 4.3779 6.8898
Cl 2.1118 4.8223 1.6578
Cl -2.1088 1.3112 8.8063
Cl 1.0444 1.7555 3.5742
Cl 1.9192 4.4221 5.2322
Cl 5.0724 4.7780 0.0001
Cl 4.1912 1.3022 1.6687
Cl 1.0380 1.7645 6.9007

***

Entry 16:
6
Lattice="1.8996 -6.6443 0.0000 1.8996 6.6443 0.0000 0.0000 0.0000 7.0518" Properties=species:S:1:pos:R:3 comment="Ca2Be | Alexandria via LeMat-Bulk | PBE | relaxed" de_polymorph_ev_per_atom=0.111 e_tot_ev_per_atom=-2.239 ef_ev_per_fu=1.0 sg="No. 36" pbc="T T T"
Ca 1.8996 6.3698 3.5259
Ca 1.8996 2.9183 2.2832
Ca 1.8996 -2.9183 5.8091
Ca 1.8996 -6.3698 0.0000
Be 1.8996 1.5134 5.0518
Be 1.8996 -1.5134 1.5259

***

Entry 17:
20
Lattice="7.3178 4.2249 3.1777 -7.3178 4.2249 3.1777 0.0000 -8.4498 3.1777" Properties=species:S:1:pos:R:3 comment="Dy12ErSc7 | Alexandria via LeMat-Bulk | PBE | relaxed" de_polymorph_ev_per_atom=0.000 e_tot_ev_per_atom=-5.035 ef_ev_per_fu=3.4 sg="No. 148" pbc="T T T"
Dy -2.4941 0.5099 2.3241
Dy -1.3257 -5.2059 3.9522
Dy -5.1713 -1.4548 5.5810
Dy 0.8054 -2.4149 2.3241
Dy -3.8456 3.7510 3.9522
Dy 1.6887 1.9050 2.3241
Dy -1.6887 -1.9050 7.2091
Dy 3.8456 -3.7510 5.5810
Dy -0.8054 2.4149 7.2091
Dy 5.1713 1.4548 3.9522
Dy 1.3257 5.2059 5.5810
Dy 2.4941 -0.5100 7.2091
Er 0.0000 0.0000 4.7666
Sc 0.0000 0.0000 0.0000
Sc -2.3333 -2.1971 4.1099
Sc -3.0694 0.9221 5.4233
Sc 0.7361 -3.1192 5.4233
Sc -0.7361 3.1192 4.1099
Sc 3.0694 -0.9221 4.1099
Sc 2.3333 2.1971 5.4233

***

Entry 18:
11
Lattice="4.9192 0.0000 0.0000 -0.7349 6.0287 0.0000 -2.0660 -2.8336 6.8690" Properties=species:S:1:pos:R:3 comment="InGa2Ag8 | Alexandria via LeMat-Bulk | PBE | relaxed" de_polymorph_ev_per_atom=0.021 e_tot_ev_per_atom=-2.865 ef_ev_per_fu=0.1 sg="No. 2" pbc="T T T"
In 0.0000 0.0000 0.0000
Ga -0.2209 0.2294 4.6759
Ga 2.3391 2.9657 2.1931
Ag -0.5460 4.6549 2.5930
Ag -0.0529 1.7468 2.4228
Ag 0.8567 3.7317 0.1781
Ag -0.3879 3.0838 5.1502
Ag 2.5061 0.1113 1.7188
Ag 1.2615 -0.5366 6.6909
Ag 2.1711 1.4483 4.4462
Ag 2.6642 -1.4598 4.2760

***

Entry 19:
5
Lattice="6.0296 0.0000 0.0000 0.0000 6.0296 0.0000 0.0000 0.0000 5.3691" Properties=species:S:1:pos:R:3 comment="LiTl2PbCl | Alexandria via LeMat-Bulk | PBE | relaxed" e_form_raw_ev_per_atom=-0.14 e_tot_ev_per_atom=-2.585 sg="No. 123" pbc="T T T"
Li 0.0000 0.0000 0.0000
Tl 0.0000 3.0148 2.6845
Tl 3.0148 0.0000 2.6845
Pb 0.0000 0.0000 2.6845
Cl 3.0148 3.0148 0.0000

***

Number 1: calculated volume 58.56 Å³/cell. Number 2: calculated volume 406.08 Å³/cell. Number 3: calculated volume 64.61 Å³/cell. Number 4: calculated volume 56.71 Å³/cell. Number 5: calculated volume 152.08 Å³/cell. Number 6: calculated volume 116.63 Å³/cell. Number 7: calculated volume 173.06 Å³/cell. Number 8: calculated volume 340.26 Å³/cell. Number 9: calculated volume 74.76 Å³/cell. Number 10: calculated volume 122.54 Å³/cell. Number 11: calculated volume 122.53 Å³/cell. Number 12: calculated volume 396.99 Å³/cell. Number 13: calculated volume 401.87 Å³/cell. Number 14: calculated volume 137.66 Å³/cell. Number 15: calculated volume 404.94 Å³/cell. Number 16: calculated volume 178.01 Å³/cell. Number 17: calculated volume 589.47 Å³/cell. Number 18: calculated volume 203.71 Å³/cell. Number 19: calculated volume 195.20 Å³/cell.